## BaLi2SeO (GGA-PBE)

Data for a geometry-optimized BaLi2SeO structure.

Output
uncorrected formation energy	-9.19	eV/f.u.
D(E_F)	0.00	states/eV/atom

Cell: 4.022 6.438 7.521 Å, 90.00 90.00 108.20°
Sites, in units of the cell vectors:
Ba  0.546  0.093  0.250
Ba  0.454  0.907  0.750
Se  0.727  0.453  0.750
Se  0.273  0.547  0.250
O  0.000  0.000  0.000
O  0.000  0.000  0.500
Li  0.152  0.305  0.558
Li  0.848  0.695  0.058
Li  0.152  0.305  0.942
Li  0.848  0.695  0.442

---

## BaLiSe2O6 (GGA-PBE)

Data for a geometry-optimized BaLiSe2O6 structure.

Output
uncorrected formation energy	-14.34	eV/f.u.
D(E_F)	0.57	states/eV/atom

Cell: 5.518 5.518 6.891 Å, 66.40 66.40 60.00°
Last column: magnetic moment on the atom in μB.
Sites, in units of the cell vectors:
Ba  0.000  0.000  0.000  0.00
O  0.706  0.068  0.722  0.11
O  0.294  0.932  0.278  0.11
O  0.932  0.496  0.278  0.11
O  0.504  0.706  0.722  0.11
O  0.496  0.294  0.278  0.11
O  0.068  0.504  0.722  0.11
Li  0.500  0.500  0.500  0.00
Se  0.204  0.204  0.388  0.07
Se  0.796  0.796  0.612  0.07

---

## BaLiSe2O8 (GGA-PBE)

Data for a geometry-optimized BaLiSe2O8 structure.

Output
uncorrected formation energy	-14.30	eV/f.u.
D(E_F)	0.96	states/eV/atom

Cell: 5.132 5.132 8.305 Å, 72.00 72.00 60.00°
Last column: magnetic moment on the atom in μB.
Sites, in units of the cell vectors:
O  0.963  0.591  0.169  0.13
O  0.409  0.724  0.831  0.13
O  0.591  0.276  0.169  0.13
O  0.185  0.185  0.446  0.09
O  0.276  0.963  0.169  0.13
O  0.037  0.409  0.831  0.13
O  0.815  0.815  0.554  0.09
O  0.724  0.037  0.831  0.13
Li  0.000  0.000  0.000  0.00
Ba  0.500  0.500  0.500  0.00
Se  0.258  0.258  0.227  -0.02
Se  0.742  0.742  0.773  -0.02

---

## BaLi2Se2O6 (GGA-PBE)

Data for a geometry-optimized BaLi2Se2O6 structure.

Output
uncorrected formation energy	-15.19	eV/f.u.

Cell: 5.422 7.057 6.456 Å, 126.39 94.74 64.99°
Sites, in units of the cell vectors:
O  0.068  0.896  0.520
O  0.532  0.229  0.023
O  0.115  0.560  0.866
O  0.885  0.440  0.134
O  0.932  0.104  0.480
O  0.468  0.771  0.977
Se  0.799  0.254  0.180
Se  0.201  0.746  0.820
Ba  0.500  0.000  0.500
Li  0.824  0.448  0.826
Li  0.176  0.552  0.174

---

## Ba2LiSeO6 (GGA-PBE)

Data for a geometry-optimized Ba2LiSeO6 structure.

Output
uncorrected formation energy	-17.69	eV/f.u.
D(E_F)	0.66	states/eV/atom

Cell: 5.780 5.780 5.781 Å, 59.99 59.99 89.97°
Last column: magnetic moment on the atom in μB.
Sites, in units of the cell vectors:
O  0.275  0.725  0.000  0.15
O  0.724  0.724  0.551  0.15
O  0.276  0.276  0.449  0.15
O  0.724  0.724  0.000  0.15
O  0.276  0.276  0.000  0.15
O  0.725  0.275  0.000  0.15
Se  0.500  0.500  0.000  -0.02
Ba  0.750  0.250  0.500  -0.01
Ba  0.250  0.750  0.500  -0.01
Li  0.000  0.000  0.000  0.00

---

## BaLiSeO4 (GGA-PBE)

Data for a geometry-optimized BaLiSeO4 structure.

Output
uncorrected formation energy	-9.67	eV/f.u.
D(E_F)	0.33	states/eV/atom

Cell: 5.841 5.841 5.841 Å, 60.00 60.00 60.00°
Last column: magnetic moment on the atom in μB.
Sites, in units of the cell vectors:
O  0.374  0.879  0.374  0.13
O  0.374  0.374  0.374  0.13
O  0.879  0.374  0.374  0.13
O  0.374  0.374  0.879  0.13
Ba  0.750  0.750  0.750  0.00
Li  0.500  0.500  0.500  0.05
Se  0.250  0.250  0.250  0.10